Entry from Alexandria via LeMat-Bulk: crystalline Cr2MoCl at its relaxed geometry (GGA-PBEsol).

It has space group R3m (No. 160, hexagonal axes), with a = 2.8234 Å, b = 2.8234 Å, c = 23.4191 Å, α = 90.00°, β = 90.00° and γ = 120.00°. The distinct sites, in fractional coordinates, are Cr at (0.0000, 0.0000, 0.0000), Cr at (0.0000, 0.0000, 0.2670), Mo at (0.0000, 0.0000, 0.5066) and Cl at (0.0000, 0.0000, 0.7548).

The value obtained for the density is 7.25 g cm⁻³. The value obtained for the uncorrected formation energy is 357 meV per atom.



Entry from Alexandria via LeMat-Bulk: crystalline Cr2MoCl at its relaxed geometry (GGA-PBEsol).

It has space group Pmmm (No. 47), with a = 2.8216 Å, b = 4.2543 Å, c = 4.3167 Å, α = 90.00°, β = 90.00° and γ = 90.00°. The distinct sites, in fractional coordinates, are Cr at (0.0000, 0.0000, 0.0000), Cr at (0.5000, 0.0000, 0.5000), Mo at (0.0000, 0.5000, 0.5000) and Cl at (0.5000, 0.5000, 0.0000).

The value obtained for the density is 7.54 g cm⁻³. The value obtained for the uncorrected formation energy is 687 meV per atom.



Entry from Alexandria via LeMat-Bulk: crystalline Cr2MoCl at its relaxed geometry (GGA-PBEsol).

It has space group Cm (No. 8), with a = 8.9692 Å, b = 2.8368 Å, c = 4.2901 Å, α = 90.00°, β = 90.56° and γ = 90.00°. The distinct sites, in fractional coordinates, are Cr at (0.0000, 0.0000, 0.0000), Cr at (0.2183, 0.5000, 0.7973), Mo at (0.2717, 0.0000, 0.2345) and Cl at (0.4840, 0.0000, 0.6039).

The value obtained for the density is 7.16 g cm⁻³. The value obtained for the uncorrected formation energy is 608 meV per atom.



Entry from Alexandria via LeMat-Bulk: crystalline Cr2SbMoCl at its relaxed geometry (GGA-PBEsol).

It has space group P4/mmm (No. 123), with a = 4.7436 Å, b = 4.7436 Å, c = 5.1199 Å, α = 90.00°, β = 90.00° and γ = 90.00°. The distinct sites, in fractional coordinates, are Cr at (0.0000, 0.5000, 0.0000), Sb at (0.0000, 0.0000, 0.5000), Mo at (0.0000, 0.0000, 0.0000) and Cl at (0.5000, 0.5000, 0.5000).

The value obtained for the density is 5.15 g cm⁻³. The value obtained for the uncorrected formation energy is 1141 meV per atom.



Entry from Alexandria via LeMat-Bulk: crystalline CrS2NCl at its relaxed geometry (GGA-PBEsol).

It has space group P4/mmm (No. 123), with a = 4.7405 Å, b = 4.7405 Å, c = 3.3474 Å, α = 90.00°, β = 90.00° and γ = 90.00°. The distinct sites, in fractional coordinates, are Cr at (0.0000, 0.0000, 0.0000), S at (0.0000, 0.5000, 0.5000), N at (0.5000, 0.5000, 0.0000) and Cl at (0.5000, 0.5000, 0.5000).

The value obtained for the density is 3.66 g cm⁻³. The value obtained for the uncorrected formation energy is 1457 meV per atom.



Entry from Alexandria via LeMat-Bulk: crystalline CrSeN2Cl at its relaxed geometry (GGA-PBEsol).

It has space group P4/mmm (No. 123), with a = 3.6271 Å, b = 3.6271 Å, c = 5.1669 Å, α = 90.00°, β = 90.00° and γ = 90.00°. The distinct sites, in fractional coordinates, are Cr at (0.0000, 0.0000, 0.0000), Se at (0.0000, 0.0000, 0.5000), N at (0.0000, 0.5000, 0.0000) and Cl at (0.5000, 0.5000, 0.5000).

The value obtained for the density is 4.75 g cm⁻³. The value obtained for the uncorrected formation energy is 446 meV per atom.



Entry from Alexandria via LeMat-Bulk: crystalline Na3CrCl at its relaxed geometry (GGA-PBEsol).

It has space group Pm-3m (No. 221), with a = 5.3106 Å, b = 5.3106 Å, c = 5.3106 Å, α = 90.00°, β = 90.00° and γ = 90.00°. The distinct sites, in fractional coordinates, are Na at (0.0000, 0.0000, 0.5000), Cr at (0.5000, 0.5000, 0.5000) and Cl at (0.0000, 0.0000, 0.0000).

The value obtained for the density is 1.73 g cm⁻³. The value obtained for the uncorrected formation energy is 11 meV per atom.



Entry from Alexandria via LeMat-Bulk: crystalline NbCrCl3 at its relaxed geometry (GGA-PBEsol).

It has space group Pm-3m (No. 221), with a = 4.8432 Å, b = 4.8432 Å, c = 4.8432 Å, α = 90.00°, β = 90.00° and γ = 90.00°. The distinct sites, in fractional coordinates, are Nb at (0.0000, 0.0000, 0.0000), Cr at (0.5000, 0.5000, 0.5000) and Cl at (0.0000, 0.0000, 0.5000).

The value obtained for the density is 3.67 g cm⁻³. The value obtained for the uncorrected formation energy is -14 meV per atom.



Entry from Alexandria via LeMat-Bulk: crystalline NbCrCl2 at its relaxed geometry (GGA-PBEsol).

It has space group R-3m (No. 166, hexagonal axes), with a = 3.0360 Å, b = 3.0360 Å, c = 24.4536 Å, α = 90.00°, β = 90.00° and γ = 120.00°. The distinct sites, in fractional coordinates, are Nb at (0.0000, 0.0000, 0.0000), Cr at (0.0000, 0.0000, 0.5000) and Cl at (0.0000, 0.0000, 0.1008).

The value obtained for the density is 5.51 g cm⁻³. The value obtained for the uncorrected formation energy is 4 meV per atom.



Entry from Alexandria via LeMat-Bulk: crystalline NbCrPCl2 at its relaxed geometry (GGA-PBEsol).

It has space group P4/mmm (No. 123), with a = 4.4517 Å, b = 4.4517 Å, c = 4.8991 Å, α = 90.00°, β = 90.00° and γ = 90.00°. The distinct sites, in fractional coordinates, are Nb at (0.0000, 0.0000, 0.0000), Cr at (0.5000, 0.5000, 0.5000), P at (0.5000, 0.5000, 0.0000) and Cl at (0.0000, 0.5000, 0.5000).

The value obtained for the density is 4.22 g cm⁻³. The value obtained for the uncorrected formation energy is 414 meV per atom.



Entry from Alexandria via LeMat-Bulk: crystalline Nb2CrSbCl at its relaxed geometry (GGA-PBEsol).

It has space group P4/mmm (No. 123), with a = 5.1668 Å, b = 5.1668 Å, c = 4.9538 Å, α = 90.00°, β = 90.00° and γ = 90.00°. The distinct sites, in fractional coordinates, are Nb at (0.0000, 0.5000, 0.0000), Cr at (0.0000, 0.0000, 0.5000), Sb at (0.0000, 0.0000, 0.0000) and Cl at (0.5000, 0.5000, 0.5000).

The value obtained for the density is 4.96 g cm⁻³. The value obtained for the uncorrected formation energy is 1619 meV per atom.



Entry from Alexandria via LeMat-Bulk: crystalline CrNiCl at its relaxed geometry (GGA-PBEsol).

It has space group F-43m (No. 216), with a = 5.6515 Å, b = 5.6515 Å, c = 5.6515 Å, α = 90.00°, β = 90.00° and γ = 90.00°. The distinct sites, in fractional coordinates, are Cr at (0.0000, 0.0000, 0.0000), Ni at (0.0000, 0.0000, 0.5000) and Cl at (0.2500, 0.2500, 0.2500).

The value obtained for the density is 5.38 g cm⁻³. The value obtained for the uncorrected formation energy is 851 meV per atom.



What is the formula in the eighth record? NbCrCl3